Run one
DFT (PBE-GGA) results for crystalline Sn2Pb2Br at its relaxed geometry.

Geometry as POSCAR:
```
Sn2Pb2Br
1.0
9.264 0.000 0.000
0.000 9.264 0.000
0.000 0.000 3.612
Br Pb Sn
2 4 4
Cartesian
4.632 4.632 0.000
0.000 0.000 0.000
3.274 1.358 1.806
5.991 7.906 1.806
1.358 5.991 1.806
7.906 3.274 1.806
1.376 3.257 0.000
3.257 7.889 0.000
6.008 1.376 0.000
7.889 6.008 0.000
```

Values from the calculation:
The space group is P4/mbm (127). Its volume is 310 Å³ per cell.


Run two
DFT (PBE-GGA) results for crystalline Sn2Pb2Br at its relaxed geometry.

Geometry as POSCAR:
```
Sn2Pb2Br
1.0
-3.013 2.815 -1.464
-0.341 -2.295 -3.710
-7.732 -4.423 0.866
Sn Pb Br
2 2 1
Cartesian
-4.875 -3.229 -2.716
-6.211 -0.674 -1.593
-2.973 -0.742 -1.848
-8.112 -3.160 -2.461
0.000 0.000 0.000
```

Values from the calculation:
The space group is I4/mmm (139). Its volume is 161 Å³ per cell.


Run three
DFT (PBE-GGA) results for crystalline Sn2Pb2Br at its relaxed geometry.

Geometry as POSCAR:
```
Sn2Pb2Br
1.0
-1.683 -2.618 -8.729
9.112 -0.611 -1.573
-0.052 -3.505 1.061
Sn Br Pb
4 2 4
Cartesian
0.419 -2.822 -2.981
6.958 -3.912 -6.260
5.415 -2.443 -1.484
1.962 -4.291 -7.757
0.000 0.000 0.000
3.715 -1.615 -5.151
0.467 -1.878 -6.179
4.775 -2.570 -8.255
2.655 -0.659 -2.047
6.962 -1.351 -4.123
```

Values from the calculation:
The space group is P4/mbm (127). Its volume is 314 Å³ per cell.


Short version: run one is the least stable of them.


Run one
DFT (PBE-GGA) results for crystalline SrPbBr2 at its relaxed geometry.

Geometry as POSCAR:
```
SrPbBr2
1.0
-1.551 -3.714 -0.540
6.020 -2.378 -0.934
6.477 -3.260 3.820
Sr Br Pb
1 2 1
Cartesian
3.238 -1.630 1.910
0.000 0.000 0.000
2.235 -3.046 -0.737
5.473 -4.676 1.173
```

Values from the calculation:
The space group is P2/m (10). Its volume is 129 Å³ per cell.


Run two
DFT (PBE-GGA) results for crystalline SrPbBr2 at its relaxed geometry.

Geometry as POSCAR:
```
SrPbBr2
1.0
-2.901 3.976 -2.880
-5.559 0.767 1.013
-1.789 4.714 2.665
Br Pb Sr
2 1 1
Cartesian
0.000 0.000 0.000
-2.562 2.364 0.199
-5.124 4.729 0.399
-7.687 7.093 0.598
```

Values from the calculation:
The space group is F-43m (216). Its volume is 131 Å³ per cell.


Short version: run two is the least stable of them.